#P
# FeB3As PBE optimized geometry
# - mass density (g/cm3) = 4.73
# - spin magnetization (μB/cell) = 1.8
# - symmetry = Pm-3m, No. 221
data_FeB3As
_space_group_name_H-M_alt 'P 1'
_space_group_IT_number 1
_space_group_name_Hall 'P 1'
_cell_length_a 3.855
_cell_length_b 3.855
_cell_length_c 3.855
_cell_angle_alpha 90.00
_cell_angle_beta 90.00
_cell_angle_gamma 90.00
loop_
_atom_site_label
_atom_site_type_symbol
_atom_site_fract_x
_atom_site_fract_y
_atom_site_fract_z
Fe1 Fe 0.000 0.000 0.000
B1 B 0.000 0.000 0.500
B2 B 0.000 0.500 0.000
B3 B 0.500 0.000 0.000
As1 As 0.500 0.500 0.500

=====

#Q
# FeB3As PBE optimized geometry
# - mass density (g/cm3) = 4.17
# - spin magnetization (μB/cell) = 0.1
# - symmetry = Pm-3m, No. 221
data_FeB3As
_space_group_name_H-M_alt 'P 1'
_space_group_IT_number 1
_space_group_name_Hall 'P 1'
_cell_length_a 4.022
_cell_length_b 4.022
_cell_length_c 4.022
_cell_angle_alpha 90.00
_cell_angle_beta 90.00
_cell_angle_gamma 90.00
loop_
_atom_site_label
_atom_site_type_symbol
_atom_site_fract_x
_atom_site_fract_y
_atom_site_fract_z
Fe1 Fe 0.000 0.000 0.000
B1 B 0.000 0.500 0.500
B2 B 0.500 0.000 0.500
B3 B 0.500 0.500 0.000
As1 As 0.500 0.500 0.500

=====

#P ends up most stable, edging out the next structure by 1.116 eV/atom.

=====

#P
# FeBAsSe2 PBE optimized geometry
# - mass density (g/cm3) = 4.80
# - spin magnetization (μB/cell) = 2.5
# - symmetry = P4/mmm, No. 123
data_FeBAsSe2
_space_group_name_H-M_alt 'P 1'
_space_group_IT_number 1
_space_group_name_Hall 'P 1'
_cell_length_a 4.807
_cell_length_b 4.807
_cell_length_c 4.482
_cell_angle_alpha 90.00
_cell_angle_beta 90.00
_cell_angle_gamma 90.00
loop_
_atom_site_label
_atom_site_type_symbol
_atom_site_fract_x
_atom_site_fract_y
_atom_site_fract_z
Fe1 Fe 0.000 0.000 0.000
B1 B 0.500 0.500 0.500
As1 As 0.000 0.000 0.500
Se1 Se 0.000 0.500 0.000
Se2 Se 0.500 0.000 0.000

=====

#Q
# FeBAsSe2 PBE optimized geometry
# - mass density (g/cm3) = 6.16
# - spin magnetization (μB/cell) = 0.0
# - symmetry = P4/mmm, No. 123
data_FeBAsSe2
_space_group_name_H-M_alt 'P 1'
_space_group_IT_number 1
_space_group_name_Hall 'P 1'
_cell_length_a 4.401
_cell_length_b 4.401
_cell_length_c 4.169
_cell_angle_alpha 90.00
_cell_angle_beta 90.00
_cell_angle_gamma 90.00
loop_
_atom_site_label
_atom_site_type_symbol
_atom_site_fract_x
_atom_site_fract_y
_atom_site_fract_z
Fe1 Fe 0.000 0.000 0.000
B1 B 0.500 0.500 0.500
As1 As 0.500 0.500 0.000
Se1 Se 0.000 0.500 0.500
Se2 Se 0.500 0.000 0.500

=====

#Q ends up most stable, edging out the next structure by 0.080 eV/atom.

=====

#P
# GaBTe2As PBE optimized geometry
# - mass density (g/cm3) = 4.45
# - spin magnetization (μB/cell) = 0.0
# - symmetry = P4/mmm, No. 123
data_GaBTe2As
_space_group_name_H-M_alt 'P 1'
_space_group_IT_number 1
_space_group_name_Hall 'P 1'
_cell_length_a 5.556
_cell_length_b 5.556
_cell_length_c 4.960
_cell_angle_alpha 90.00
_cell_angle_beta 90.00
_cell_angle_gamma 90.00
loop_
_atom_site_label
_atom_site_type_symbol
_atom_site_fract_x
_atom_site_fract_y
_atom_site_fract_z
Ga1 Ga 0.000 0.000 0.000
B1 B 0.500 0.500 0.000
Te1 Te 0.000 0.500 0.500
Te2 Te 0.500 0.000 0.500
As1 As 0.000 0.000 0.500

=====

#Q
# GaBTe2As PBE optimized geometry
# - mass density (g/cm3) = 5.68
# - spin magnetization (μB/cell) = 0.0
# - symmetry = P4/mmm, No. 123
data_GaBTe2As
_space_group_name_H-M_alt 'P 1'
_space_group_IT_number 1
_space_group_name_Hall 'P 1'
_cell_length_a 5.560
_cell_length_b 5.560
_cell_length_c 3.887
_cell_angle_alpha 90.00
_cell_angle_beta 90.00
_cell_angle_gamma 90.00
loop_
_atom_site_label
_atom_site_type_symbol
_atom_site_fract_x
_atom_site_fract_y
_atom_site_fract_z
Ga1 Ga 0.000 0.000 0.000
B1 B 0.000 0.000 0.500
Te1 Te 0.000 0.500 0.000
Te2 Te 0.500 0.000 0.000
As1 As 0.500 0.500 0.500

=====

#Q ends up most stable, edging out the next structure by 0.342 eV/atom.

=====

#P
# Ge3BAs PBE optimized geometry
# - mass density (g/cm3) = 4.06
# - spin magnetization (μB/cell) = 0.0
# - symmetry = Pm-3m, No. 221
data_Ge3BAs
_space_group_name_H-M_alt 'P 1'
_space_group_IT_number 1
_space_group_name_Hall 'P 1'
_cell_length_a 4.988
_cell_length_b 4.988
_cell_length_c 4.988
_cell_angle_alpha 90.00
_cell_angle_beta 90.00
_cell_angle_gamma 90.00
loop_
_atom_site_label
_atom_site_type_symbol
_atom_site_fract_x
_atom_site_fract_y
_atom_site_fract_z
Ge1 Ge 0.000 0.000 0.500
Ge2 Ge 0.000 0.500 0.000
Ge3 Ge 0.500 0.000 0.000
B1 B 0.500 0.500 0.500
As1 As 0.000 0.000 0.000

=====

#Q
# Ge3BAs PBE optimized geometry
# - mass density (g/cm3) = 5.78
# - spin magnetization (μB/cell) = 0.0
# - symmetry = Pm-3m, No. 221
data_Ge3BAs
_space_group_name_H-M_alt 'P 1'
_space_group_IT_number 1
_space_group_name_Hall 'P 1'
_cell_length_a 4.436
_cell_length_b 4.436
_cell_length_c 4.436
_cell_angle_alpha 90.00
_cell_angle_beta 90.00
_cell_angle_gamma 90.00
loop_
_atom_site_label
_atom_site_type_symbol
_atom_site_fract_x
_atom_site_fract_y
_atom_site_fract_z
Ge1 Ge 0.000 0.000 0.500
Ge2 Ge 0.000 0.500 0.000
Ge3 Ge 0.500 0.000 0.000
B1 B 0.000 0.000 0.000
As1 As 0.500 0.500 0.500

=====

#Q ends up most stable, edging out the next structure by 0.998 eV/atom.

=====

#P
# GeB2As PBE optimized geometry
# - mass density (g/cm3) = 4.98
# - spin magnetization (μB/cell) = 0.0
# - symmetry = I-42d, No. 122
data_GeB2As
_space_group_name_H-M_alt 'P 1'
_space_group_IT_number 1
_space_group_name_Hall 'P 1'
_cell_length_a 4.857
_cell_length_b 4.857
_cell_length_c 9.558
_cell_angle_alpha 90.00
_cell_angle_beta 90.00
_cell_angle_gamma 90.00
loop_
_atom_site_label
_atom_site_type_symbol
_atom_site_fract_x
_atom_site_fract_y
_atom_site_fract_z
Ge1 Ge 0.000 0.000 0.000
Ge2 Ge 0.000 0.500 0.250
Ge3 Ge 0.500 0.000 0.750
Ge4 Ge 0.500 0.500 0.500
B1 B 0.245 0.250 0.625
B2 B 0.250 0.745 0.875
B3 B 0.250 0.755 0.375
B4 B 0.255 0.250 0.125
B5 B 0.745 0.750 0.125
B6 B 0.750 0.245 0.375
B7 B 0.750 0.255 0.875
B8 B 0.755 0.750 0.625
As1 As 0.000 0.000 0.500
As2 As 0.000 0.500 0.750
As3 As 0.500 0.000 0.250
As4 As 0.500 0.500 0.000

=====

#Q
# GeB2As PBE optimized geometry
# - mass density (g/cm3) = 5.60
# - spin magnetization (μB/cell) = 0.0
# - symmetry = Fm-3m, No. 225
data_GeB2As
_space_group_name_H-M_alt 'P 1'
_space_group_IT_number 1
_space_group_name_Hall 'P 1'
_cell_length_a 5.854
_cell_length_b 5.854
_cell_length_c 5.854
_cell_angle_alpha 90.00
_cell_angle_beta 90.00
_cell_angle_gamma 90.00
loop_
_atom_site_label
_atom_site_type_symbol
_atom_site_fract_x
_atom_site_fract_y
_atom_site_fract_z
Ge1 Ge 0.000 0.000 0.000
Ge2 Ge 0.000 0.500 0.500
Ge3 Ge 0.500 0.000 0.500
Ge4 Ge 0.500 0.500 0.000
B1 B 0.250 0.250 0.250
B2 B 0.250 0.250 0.750
B3 B 0.250 0.750 0.250
B4 B 0.250 0.750 0.750
B5 B 0.750 0.250 0.250
B6 B 0.750 0.250 0.750
B7 B 0.750 0.750 0.250
B8 B 0.750 0.750 0.750
As1 As 0.000 0.000 0.500
As2 As 0.000 0.500 0.000
As3 As 0.500 0.000 0.000
As4 As 0.500 0.500 0.500

=====

#P ends up most stable, edging out the next structure by 1.185 eV/atom.

=====

#P
# GeBAs2 PBE optimized geometry
# - mass density (g/cm3) = 5.95
# - spin magnetization (μB/cell) = 0.0
# - symmetry = Fm-3m, No. 225
data_GeBAs2
_space_group_name_H-M_alt 'P 1'
_space_group_IT_number 1
_space_group_name_Hall 'P 1'
_cell_length_a 6.385
_cell_length_b 6.385
_cell_length_c 6.385
_cell_angle_alpha 90.00
_cell_angle_beta 90.00
_cell_angle_gamma 90.00
loop_
_atom_site_label
_atom_site_type_symbol
_atom_site_fract_x
_atom_site_fract_y
_atom_site_fract_z
Ge1 Ge 0.000 0.000 0.000
Ge2 Ge 0.000 0.500 0.500
Ge3 Ge 0.500 0.000 0.500
Ge4 Ge 0.500 0.500 0.000
B1 B 0.000 0.000 0.500
B2 B 0.000 0.500 0.000
B3 B 0.500 0.000 0.000
B4 B 0.500 0.500 0.500
As1 As 0.250 0.250 0.250
As2 As 0.250 0.250 0.750
As3 As 0.250 0.750 0.250
As4 As 0.250 0.750 0.750
As5 As 0.750 0.250 0.250
As6 As 0.750 0.250 0.750
As7 As 0.750 0.750 0.250
As8 As 0.750 0.750 0.750

=====

#Q
# GeBAs2 PBE optimized geometry
# - mass density (g/cm3) = 5.16
# - spin magnetization (μB/cell) = 0.0
# - symmetry = I-42d, No. 122
data_GeBAs2
_space_group_name_H-M_alt 'P 1'
_space_group_IT_number 1
_space_group_name_Hall 'P 1'
_cell_length_a 5.606
_cell_length_b 5.606
_cell_length_c 9.553
_cell_angle_alpha 90.00
_cell_angle_beta 90.00
_cell_angle_gamma 90.00
loop_
_atom_site_label
_atom_site_type_symbol
_atom_site_fract_x
_atom_site_fract_y
_atom_site_fract_z
Ge1 Ge 0.000 0.000 0.000
Ge2 Ge 0.000 0.500 0.250
Ge3 Ge 0.500 0.000 0.750
Ge4 Ge 0.500 0.500 0.500
B1 B 0.000 0.000 0.500
B2 B 0.000 0.500 0.750
B3 B 0.500 0.000 0.250
B4 B 0.500 0.500 0.000
As1 As 0.181 0.250 0.625
As2 As 0.250 0.681 0.875
As3 As 0.250 0.819 0.375
As4 As 0.319 0.250 0.125
As5 As 0.681 0.750 0.125
As6 As 0.750 0.181 0.375
As7 As 0.750 0.319 0.875
As8 As 0.819 0.750 0.625

=====

#Q ends up most stable, edging out the next structure by 0.841 eV/atom.